Record 1
# BeFeOs2, optimized geometry, DFT PBE
# energy	-8.5013	eV/atom
# total moment	0.4170	μB per atom
# DOS at the Fermi energy	4.03	states/eV/cell
data_BeFeOs2
_cell_length_a 2.658
_cell_length_b 3.712
_cell_length_c 5.118
_cell_angle_alpha 90.00
_cell_angle_beta 101.96
_cell_angle_gamma 90.00
_space_group_name_H-M_alt 'P 1 2/m 1'
_space_group_IT_number 10
_space_group_name_Hall '-P 2y'
loop_
_atom_site_label
_atom_site_fract_x
_atom_site_fract_y
_atom_site_fract_z
Be1 0.000 0.000 0.000
Fe1 0.000 0.000 0.500
Os1 0.379 0.500 0.234



Record 2
# BeFeOs2, optimized geometry, DFT PBE
# energy	-8.5208	eV/atom
# total moment	0.5335	μB per atom
# DOS at the Fermi energy	7.15	states/eV/cell
data_BeFeOs2
_cell_length_a 8.259
_cell_length_b 2.662
_cell_length_c 4.673
_cell_angle_alpha 90.00
_cell_angle_beta 100.63
_cell_angle_gamma 90.00
_space_group_name_H-M_alt 'C 1 2/m 1'
_space_group_IT_number 12
_space_group_name_Hall '-C 2y'
loop_
_atom_site_label
_atom_site_fract_x
_atom_site_fract_y
_atom_site_fract_z
Be1 0.000 0.000 0.000
Fe1 0.000 0.500 0.500
Os1 0.248 0.500 0.241



Record 3
# Be2FeOs, optimized geometry, DFT PBE
# energy above the lowest structure with this stoichiometry	0.60	eV per formula unit
# energy	-6.7992	eV/atom
# total moment	0.4572	μB per atom
# DOS at the Fermi energy	4.53	states/eV/cell
data_Be2FeOs
_cell_length_a 3.535
_cell_length_b 3.535
_cell_length_c 6.808
_cell_angle_alpha 90.00
_cell_angle_beta 90.00
_cell_angle_gamma 90.00
_space_group_name_H-M_alt 'I -4 m 2'
_space_group_IT_number 119
_space_group_name_Hall 'I -4 -2'
loop_
_atom_site_label
_atom_site_fract_x
_atom_site_fract_y
_atom_site_fract_z
Be1 0.000 0.000 0.000
Be2 0.000 0.500 0.250
Fe1 0.000 0.500 0.750
Os1 0.000 0.000 0.500



Record 4
# Be2Fe2Os, optimized geometry, DFT PBE
# energy	-7.2295	eV/atom
# total moment	0.8482	μB per atom
# DOS at the Fermi energy	7.31	states/eV/cell
data_Be2Fe2Os
_cell_length_a 6.054
_cell_length_b 6.054
_cell_length_c 2.829
_cell_angle_alpha 90.00
_cell_angle_beta 90.00
_cell_angle_gamma 90.00
_space_group_name_H-M_alt 'P 4/m b m'
_space_group_IT_number 127
_space_group_name_Hall '-P 4 2ab'
loop_
_atom_site_label
_atom_site_fract_x
_atom_site_fract_y
_atom_site_fract_z
Be1 0.125 0.375 0.000
Fe1 0.170 0.670 0.500
Os1 0.000 0.000 0.000



Record 5
# Be2FeOs, optimized geometry, DFT PBE
# energy above the lowest structure with this stoichiometry	0.31	eV per formula unit
# energy	-6.8712	eV/atom
# total moment	0.2569	μB per atom
# DOS at the Fermi energy	5.92	states/eV/cell
data_Be2FeOs
_cell_length_a 2.800
_cell_length_b 3.770
_cell_length_c 7.745
_cell_angle_alpha 90.00
_cell_angle_beta 90.00
_cell_angle_gamma 90.00
_space_group_name_H-M_alt 'I m m 2'
_space_group_IT_number 44
_space_group_name_Hall 'I 2 -2'
loop_
_atom_site_label
_atom_site_fract_x
_atom_site_fract_y
_atom_site_fract_z
Be1 0.000 0.000 0.000
Be2 0.000 0.500 0.273
Fe1 0.000 0.500 0.748
Os1 0.000 0.000 0.513



Record 6
# Be2FeOs, optimized geometry, DFT PBE
# energy above the lowest structure with this stoichiometry	1.55	eV per formula unit
# energy	-6.5630	eV/atom
# total moment	0.6143	μB per atom
# DOS at the Fermi energy	4.65	states/eV/cell
data_Be2FeOs
_cell_length_a 2.805
_cell_length_b 4.258
_cell_length_c 7.646
_cell_angle_alpha 90.00
_cell_angle_beta 90.00
_cell_angle_gamma 90.00
_space_group_name_H-M_alt 'C m m 2'
_space_group_IT_number 35
_space_group_name_Hall 'C 2 -2'
loop_
_atom_site_label
_atom_site_fract_x
_atom_site_fract_y
_atom_site_fract_z
Be1 0.000 0.000 0.000
Be2 0.000 0.500 0.232
Fe1 0.000 0.000 0.468
Os1 0.000 0.500 0.750